(1)
VASP calculation (PBE-GGA) on a relaxed AcHoRu4 crystal.

Cell lengths 5.449, 5.449, 5.449 Å; angles 60.00, 60.00, 60.00 degrees
Element x y z (fractional)
Ru  0.626  0.626  0.626
Ru  0.626  0.123  0.626
Ru  0.123  0.626  0.626
Ru  0.626  0.626  0.123
Ho  0.000  0.000  0.000
Ac  0.250  0.250  0.250

DOS at the Fermi energy ... 9.0 states/eV/f.u.

(2)
VASP calculation (PBE-GGA) on a relaxed AcHoRu crystal.

Cell lengths 7.305, 9.849, 9.849 Å; angles 53.59, 68.23, 68.23 degrees
Element x y z (fractional)
Ru  0.398  0.807  0.878
Ru  0.398  0.378  0.307
Ac  0.758  0.508  0.008
Ru  0.083  0.193  0.122
Ho  0.765  0.090  0.163
Ac  0.634  0.730  0.230
Ho  0.166  0.724  0.224
Ru  0.372  0.500  0.500
Ac  0.274  0.492  0.992
Ho  0.018  0.337  0.410
Ac  0.222  0.934  0.434
Ru  0.083  0.622  0.693
Ho  0.115  0.276  0.776
Ru  0.372  0.000  0.000
Ac  0.589  0.066  0.566
Ac  0.595  0.270  0.770
Ho  0.018  0.910  0.837
Ho  0.765  0.663  0.590

DOS at the Fermi energy ... 3.4 states/eV/f.u.
ΔE to the lowest computed polymorph ... 288.9 meV/atom

(3)
VASP calculation (PBE-GGA) on a relaxed Ac2HoRu crystal.

Cell lengths 3.999, 3.999, 10.978 Å; angles 79.50, 79.50, 60.00 degrees
Element x y z (fractional)
Ho  0.000  0.000  0.000
Ru  0.500  0.500  0.500
Ac  0.113  0.113  0.662
Ac  0.887  0.887  0.338

DOS at the Fermi energy ... 5.2 states/eV/f.u.

(4)
VASP calculation (PBE-GGA) on a relaxed AcHoRu crystal.

Cell lengths 7.065, 6.789, 7.808 Å; angles 95.09, 90.00, 90.00 degrees
Element x y z (fractional)
Ac  0.924  0.269  0.608
Ac  0.076  0.731  0.392
Ac  0.424  0.231  0.892
Ru  0.234  0.002  0.166
Ho  0.075  0.764  0.891
Ru  0.266  0.502  0.666
Ho  0.575  0.736  0.609
Ru  0.766  0.998  0.834
Ru  0.734  0.498  0.334
Ho  0.925  0.236  0.109
Ac  0.576  0.769  0.108
Ho  0.425  0.264  0.391

DOS at the Fermi energy ... 1.4 states/eV/f.u.
ΔE to the lowest computed polymorph ... 40.6 meV/atom

(5)
VASP calculation (PBE-GGA) on a relaxed AcHo2Ru crystal.

Cell lengths 3.505, 3.505, 9.281 Å; angles 90.00, 90.00, 90.00 degrees
Element x y z (fractional)
Ru  0.500  0.500  0.000
Ho  0.000  0.000  0.173
Ho  0.000  0.000  0.827
Ac  0.500  0.500  0.500

DOS at the Fermi energy ... 2.9 states/eV/f.u.
ΔE to the lowest computed polymorph ... 0.0 meV/atom

(6)
VASP calculation (PBE-GGA) on a relaxed AcHoRu crystal.

Cell lengths 4.980, 4.980, 4.980 Å; angles 60.00, 60.00, 60.00 degrees
Element x y z (fractional)
Ru  0.250  0.250  0.250
Ac  0.500  0.500  0.500
Ho  0.000  0.000  0.000

DOS at the Fermi energy ... 2.7 states/eV/f.u.
ΔE to the lowest computed polymorph ... 95.1 meV/atom

no.,final energy (eV/cell),energy relative to the elements (eV per atom),total magnetization (μB per atom)
1,-46.3,-0.080,0.000
2,-107.0,0.046,0.000
3,-21.0,0.267,0.001
4,-74.3,-0.203,0.000
5,-23.3,-0.202,0.000
6,-18.4,-0.148,0.000